VASP calculation (PBE) on an optimized crystal structure of BaHf2Pb2O7.

Calculated total energy in eV/cell: -94.54
N(E_F) in states/eV/f.u.: 0.00
Formation energy (no corrections) in eV per atom: -2.55
Total moment in μB/cell: 0.0

Structure (POSCAR):
```
BaHf2Pb2O7
1.0
-1.903 9.435 2.909
1.903 -9.435 2.909
1.903 9.435 -2.909
Ba Hf Pb O
1 2 2 7
direct
0.000 0.000 0.000
0.432 0.035 0.397
0.638 0.035 0.603
0.261 0.552 0.710
0.842 0.552 0.290
0.124 0.708 0.416
0.244 0.960 0.284
0.292 0.708 0.584
0.547 0.664 0.884
0.656 0.156 0.500
0.676 0.960 0.716
0.780 0.664 0.116
```